[1]
# CaSbP2

CaSbP2 after structural relaxation (GGA-PBE, the Alexandria database).

```
CaSbP2
1.0
3.143 -3.602 0.000
3.143 3.602 0.000
0.000 0.000 3.699
Ca Sb P
1 1 2
Cartesian
0.000 0.000 0.000
3.143 0.000 0.000
1.572 1.801 1.850
1.572 -1.801 1.850
```

Summary:
VASP energy = -17.8 eV per cell

=====

[2]
# ErPPt4

ErPPt4 after structural relaxation (GGA-PBE, the Alexandria database).

```
ErPPt4
1.0
1.958 -7.673 0.000
1.958 7.673 0.000
0.000 0.000 6.754
Er P Pt
2 2 8
Cartesian
1.958 6.119 5.065
1.958 -6.119 1.688
1.958 3.987 1.688
1.958 -3.987 5.065
1.958 6.416 1.688
1.958 2.793 3.632
1.958 2.793 6.498
1.958 0.000 0.000
1.958 0.000 3.377
1.958 -2.793 0.255
1.958 -2.793 3.121
1.958 -6.416 5.065
```

Summary:
energy relative to the elements = -0.81 eV/atom

=====

[3]
# LiCu2Ir

LiCu2Ir after structural relaxation (GGA-PBE, the Alexandria database).

```
LiCu2Ir
1.0
0.000 2.951 2.951
2.951 0.000 2.951
2.951 2.951 0.000
Li Cu Ir
1 2 1
Cartesian
0.000 0.000 0.000
1.476 1.476 1.476
4.427 4.427 4.427
2.951 2.951 2.951
```

Summary:
energy relative to the elements = 0.06 eV/atom
E above lowest polymorph = 146 meV/atom

=====

[4]
# Cs2Cd2Sn

Cs2Cd2Sn after structural relaxation (GGA-PBE, the Alexandria database).

```
Cs2Cd2Sn
1.0
7.982 0.000 0.000
0.000 7.982 0.000
0.000 0.000 6.294
Cs Cd Sn
4 4 2
Cartesian
1.431 2.560 0.000
2.560 6.551 0.000
5.422 1.431 0.000
6.551 5.422 0.000
1.093 5.084 3.147
2.898 1.093 3.147
5.084 6.889 3.147
6.889 2.898 3.147
0.000 0.000 3.147
3.991 3.991 3.147
```

Summary:
energy relative to the elements = -0.05 eV/atom
E above lowest polymorph = 88 meV/atom

=====

[5]
# RbNbCo2

RbNbCo2 after structural relaxation (GGA-PBE, the Alexandria database).

```
RbNbCo2
1.0
0.000 3.288 3.288
3.288 0.000 3.288
3.288 3.288 0.000
Rb Nb Co
1 1 2
Cartesian
0.000 0.000 0.000
3.288 3.288 3.288
1.644 1.644 1.644
4.932 4.932 4.932
```

Summary:
energy relative to the elements = 1.43 eV/atom
E above lowest polymorph = 155 meV/atom

=====

[6]
# CuHgSe2

CuHgSe2 after structural relaxation (GGA-PBE, the Alexandria database).

```
CuHgSe2
1.0
-4.056 4.056 2.717
4.056 -4.056 2.717
4.056 4.056 -2.717
Cu Hg Se
2 2 4
Cartesian
4.056 0.000 1.359
0.000 4.056 1.359
0.000 0.000 1.359
0.000 0.000 4.076
5.454 1.398 0.000
1.398 2.658 0.000
2.658 1.398 2.717
-1.398 2.658 2.717
```

Summary:
VASP energy = -21.7 eV per cell

=====

[7]
# NaTmHg2

NaTmHg2 after structural relaxation (GGA-PBE, the Alexandria database).

```
NaTmHg2
1.0
1.838 1.061 9.302
-1.838 1.061 9.302
0.000 -2.122 9.302
Na Tm Hg
1 1 2
Cartesian
0.000 0.000 0.000
0.000 0.000 13.953
0.000 0.000 6.885
0.000 0.000 21.020
```

Summary:
energy relative to the elements = -0.22 eV/atom

=====

[8]
# TcBOs

TcBOs after structural relaxation (GGA-PBE, the Alexandria database).

```
TcBOs
1.0
4.934 0.000 0.000
0.000 10.231 0.000
0.000 0.000 2.835
Tc B Os
4 4 4
Cartesian
0.818 1.072 0.000
1.649 6.188 1.417
3.285 4.043 1.417
4.116 9.159 0.000
0.012 7.674 1.417
2.455 2.559 0.000
2.479 7.672 0.000
4.922 2.557 1.417
0.819 3.980 0.000
1.649 9.096 1.417
3.286 1.135 1.417
4.116 6.251 0.000
```

Summary:
energy relative to the elements = -0.10 eV/atom
E above lowest polymorph = 0 meV/atom

=====

[9]
# Pa2Ir

Pa2Ir after structural relaxation (GGA-PBE, the Alexandria database).

```
Pa2Ir
1.0
8.119 0.000 0.000
0.000 3.563 0.000
0.000 0.000 9.528
Pa Ir
8 4
Cartesian
0.236 0.891 1.528
1.233 0.891 5.279
2.826 2.672 0.515
3.824 2.672 6.292
4.295 0.891 3.236
5.293 0.891 9.013
6.886 2.672 4.249
7.883 2.672 8.000
2.022 0.891 8.070
2.038 2.672 3.306
6.082 0.891 6.222
6.097 2.672 1.458
```

Summary:
energy relative to the elements = -0.51 eV/atom

=====

[10]
# Pr5CoAu2

Pr5CoAu2 after structural relaxation (GGA-PBE, the Alexandria database).

```
Pr5CoAu2
1.0
9.118 0.000 0.000
0.000 12.301 0.000
0.000 0.000 4.074
Pr Co Au
10 2 4
Cartesian
0.000 0.000 0.000
1.298 3.680 0.000
1.597 7.063 2.037
2.962 0.913 2.037
3.261 9.830 0.000
4.559 6.150 0.000
5.857 2.471 0.000
6.156 11.388 2.037
7.521 5.237 2.037
7.820 8.621 0.000
0.000 6.150 0.000
4.559 0.000 0.000
0.686 10.111 2.037
3.873 3.960 2.037
5.245 8.340 2.037
8.432 2.190 2.037
```

Summary:
energy relative to the elements = -0.43 eV/atom

=====

[11]
# Tc2RuBr

Tc2RuBr after structural relaxation (GGA-PBE, the Alexandria database).

```
Tc2RuBr
1.0
2.931 0.000 0.000
0.000 2.931 0.000
0.000 0.000 7.245
Tc Ru Br
2 1 1
Cartesian
0.000 0.000 0.000
1.465 1.465 1.707
1.465 1.465 5.536
0.000 0.000 3.574
```

Summary:
E above lowest polymorph = 26 meV/atom

=====

[12]
# ReRh3Se

ReRh3Se after structural relaxation (GGA-PBE, the Alexandria database).

```
ReRh3Se
1.0
4.529 0.000 0.000
0.000 4.529 0.000
0.000 0.000 4.529
Re Rh Se
1 3 1
Cartesian
0.000 0.000 0.000
0.000 2.264 2.264
2.264 0.000 2.264
2.264 2.264 0.000
2.264 2.264 2.264
```

Summary:
E above lowest polymorph = 0 meV/atom

=====

The records above give, respectively, DOS(E_F) values of 2.276, 2.608, 0.929, 0.657, 5.686, 2.238, 2.170, 1.818, 4.578, 8.944, 3.683, 6.947 states/eV/f.u..